The following is a DFT calculation (PBE) of crystalline PrInGaHg at its relaxed geometry.

Properties
Its total energy is -3.033 eV/atom. For the formation energy, the calculation gives -0.321 eV per atom.

Unit cell a=5.2159 b=5.2159 c=5.2159 alpha=60.00 beta=60.00 gamma=60.00
Last column: nearest neighbours and their distance in Å.
Fractional coordinates of all 4 atoms:
Pr1 0.5000 0.5000 0.5000  4 Ga 3.19, 4 Hg 3.19
Hg1 0.7500 0.7500 0.7500  4 In 3.19, 4 Pr 3.19
Ga1 0.2500 0.2500 0.2500  4 Pr 3.19, 4 In 3.19
In1 0.0000 0.0000 0.0000  4 Hg 3.19, 4 Ga 3.19

---

The following is a DFT calculation (PBE) of crystalline VCdN3 at its relaxed geometry.

Properties
Its total energy is -6.466 eV/atom. For the formation energy (no corrections), the calculation gives 536 meV per atom.

Unit cell a=3.8590 b=3.8590 c=3.8590 alpha=90.00 beta=90.00 gamma=90.00
Last column: nearest neighbours and their distance in Å.
Fractional coordinates of all 5 atoms:
Cd1 0.5000 0.5000 0.5000  12 N 2.73
V1 0.0000 0.0000 0.0000  6 N 1.93
N1 0.0000 0.5000 0.0000  2 V 1.93
N2 0.0000 0.0000 0.5000  2 V 1.93
N3 0.5000 0.0000 0.0000  2 V 1.93

---

The following is a DFT calculation (PBE) of crystalline DyTlSnAu at its relaxed geometry.

Properties
Its total energy is -3.880 eV/atom. For the formation energy, the calculation gives -0.318 eV per atom.

Unit cell a=5.1835 b=5.1835 c=5.1835 alpha=60.00 beta=60.00 gamma=60.00
Last column: nearest neighbours and their distance in Å.
Fractional coordinates of all 4 atoms:
Tl1 0.5000 0.5000 0.5000  4 Sn 3.17, 4 Dy 3.17
Au1 0.0000 0.0000 0.0000  4 Sn 3.17, 4 Dy 3.17
Sn1 0.2500 0.2500 0.2500  4 Tl 3.17, 4 Au 3.17
Dy1 0.7500 0.7500 0.7500  4 Au 3.17, 4 Tl 3.17

---

The following is a DFT calculation (PBE) of crystalline AcGdSnRu at its relaxed geometry.

Properties
Its total energy is -8.067 eV/atom. For the formation energy, the calculation gives -0.200 eV per atom.

Unit cell a=5.3369 b=5.3369 c=5.3369 alpha=60.00 beta=60.00 gamma=60.00
Last column: nearest neighbours and their distance in Å.
Fractional coordinates of all 4 atoms:
Ru1 0.7500 0.7500 0.7500  4 Gd 3.27, 4 Ac 3.27
Ac1 0.5000 0.5000 0.5000  4 Sn 3.27, 4 Ru 3.27
Gd1 0.0000 0.0000 0.0000  4 Sn 3.27, 4 Ru 3.27
Sn1 0.2500 0.2500 0.2500  4 Gd 3.27, 4 Ac 3.27

---

The following is a DFT calculation (PBE) of crystalline Er5AsS5 at its relaxed geometry.

Properties
Its total energy is -6.337 eV/atom. For the formation energy (no corrections), the calculation gives -1965 meV per atom.

Unit cell a=5.5278 b=7.8229 c=6.7606 alpha=106.78 beta=114.13 gamma=90.00
Last column: nearest neighbours and their distance in Å.
Fractional coordinates of all 11 atoms:
Er1 0.1624 0.8237 0.3248  5 S 2.69-2.78, 1 As 2.77
Er2 0.1663 0.3392 0.3326  5 S 2.73-2.78, 1 As 2.79
Er3 0.5000 0.0000 0.0000  2 As 2.76, 4 S 2.77-2.78
Er4 0.8337 0.6608 0.6674  5 S 2.73-2.78, 1 As 2.79
Er5 0.8376 0.1763 0.6752  5 S 2.69-2.78, 1 As 2.77
As1 0.0000 0.0000 0.0000  6 Er 2.76-2.79
S1 0.3320 0.6675 0.6640  5 Er 2.73-2.77
S2 0.3284 0.1601 0.6569  5 Er 2.77-2.78
S3 0.0000 0.5000 0.0000  4 Er 2.69-2.73
S4 0.6716 0.8399 0.3431  5 Er 2.77-2.78
S5 0.6680 0.3325 0.3360  5 Er 2.73-2.77

---

The following is a DFT calculation (PBE) of crystalline TiSiGe at its relaxed geometry.

Properties
Its total energy is -6.465 eV/atom. Its energy above the most stable polymorph in this dataset is 0 meV per atom. For the formation energy (no corrections), the calculation gives -487 meV per atom.

Unit cell a=3.6334 b=3.6030 c=7.2588 alpha=104.37 beta=90.00 gamma=90.00
Last column: nearest neighbours and their distance in Å.
Fractional coordinates of all 6 atoms:
Ti1 0.2500 0.1083 0.2167  4 Ge 2.63, 4 Si 2.69
Ti2 0.7500 0.8917 0.7833  4 Ge 2.63, 4 Si 2.69
Si1 0.2500 0.7501 0.5002  4 Si 2.56, 4 Ti 2.69
Si2 0.7500 0.2499 0.4998  4 Si 2.56, 4 Ti 2.69
Ge1 0.2500 0.4351 0.8701  2 Ge 2.58, 4 Ti 2.63
Ge2 0.7500 0.5649 0.1299  2 Ge 2.58, 4 Ti 2.63

---

The following is a DFT calculation (PBE) of crystalline In4H12C15O31 at its relaxed geometry.

Properties
Its total energy is -6.532 eV/atom.

Unit cell a=10.6843 b=10.6843 c=10.6843 alpha=109.47 beta=109.47 gamma=109.47
Last column: nearest neighbours and their distance in Å.
Fractional coordinates of all 62 atoms:
In1 0.0000 0.5000 0.0000  6 O 2.18
In2 0.0000 0.0000 0.5000  6 O 2.18
In3 0.5000 0.0000 0.0000  6 O 2.18
In4 0.5000 0.5000 0.5000  6 O 2.18
H1 0.7816 0.4733 0.6916  1 C 1.11
H2 0.2184 0.9100 0.6916  1 C 1.11
H3 0.7816 0.0900 0.3084  1 C 1.11
H4 0.2184 0.5267 0.3084  1 C 1.11
H5 0.4733 0.6916 0.7816  1 C 1.11
H6 0.9100 0.6916 0.2184  1 C 1.11
H7 0.0900 0.3084 0.7816  1 C 1.11
H8 0.5267 0.3084 0.2184  1 C 1.11
H9 0.6916 0.7816 0.4733  1 C 1.11
H10 0.6916 0.2184 0.9100  1 C 1.11
H11 0.3084 0.7816 0.0900  1 C 1.11
H12 0.3084 0.2184 0.5267  1 C 1.11
C1 0.7328 0.4996 0.7668  1 H 1.11
C2 0.2672 0.0339 0.7668  1 H 1.11
C3 0.7328 0.9661 0.2332  1 H 1.11
C4 0.2672 0.5004 0.2332  1 H 1.11
C5 0.4996 0.7668 0.7328  1 H 1.11
C6 0.0339 0.7668 0.2672  1 H 1.11
C7 0.9661 0.2332 0.7328  1 H 1.11
C8 0.5004 0.2332 0.2672  1 H 1.11
C9 0.7668 0.7328 0.4996  1 H 1.11
C10 0.7668 0.2672 0.0339  1 H 1.11
C11 0.2332 0.7328 0.9661  1 H 1.11
C12 0.2332 0.2672 0.5004  1 H 1.11
C13 0.0000 0.5000 0.5000  2 O 1.18
C14 0.5000 0.5000 0.0000  2 O 1.18
C15 0.5000 0.0000 0.5000  2 O 1.18
O1 0.7949 0.5149 0.8992  1 C 1.27
O2 0.2051 0.1043 0.7200  1 C 1.27
O3 0.6157 0.8957 0.1008  1 C 1.27
O4 0.3843 0.4851 0.2800  1 C 1.27
O5 0.5149 0.8992 0.7949  1 C 1.27
O6 0.1043 0.7200 0.2051  1 C 1.27
O7 0.8957 0.1008 0.6157  1 C 1.27
O8 0.4851 0.2800 0.3843  1 C 1.27
O9 0.8992 0.7949 0.5149  1 C 1.27
O10 0.7200 0.2051 0.1043  1 C 1.27
O11 0.1008 0.6157 0.8957  1 C 1.27
O12 0.2800 0.3843 0.4851  1 C 1.27
O13 0.2051 0.4851 0.1008  1 C 1.27
O14 0.7949 0.8957 0.2800  1 C 1.27
O15 0.3843 0.1043 0.8992  1 C 1.27
O16 0.6157 0.5149 0.7200  1 C 1.27
O17 0.4851 0.1008 0.2051  1 C 1.27
O18 0.8957 0.2800 0.7949  1 C 1.27
O19 0.1043 0.8992 0.3843  1 C 1.27
O20 0.5149 0.7200 0.6157  1 C 1.27
O21 0.1008 0.2051 0.4851  1 C 1.27
O22 0.2800 0.7949 0.8957  1 C 1.27
O23 0.8992 0.3843 0.1043  1 C 1.27
O24 0.7200 0.6157 0.5149  1 C 1.27
O25 0.9047 0.4047 0.5000  1 C 1.18
O26 0.0953 0.5953 0.5000  1 C 1.18
O27 0.4047 0.5000 0.9047  1 C 1.18
O28 0.5953 0.5000 0.0953  1 C 1.18
O29 0.5000 0.9047 0.4047  1 C 1.18
O30 0.5000 0.0953 0.5953  1 C 1.18
O31 0.0000 0.0000 0.0000  12 C 4.38, 24 O 4.47, 12 H 4.66

---

The following is a DFT calculation (PBE) of crystalline GaCoTc at its relaxed geometry.

Properties
Its total energy is -6.847 eV/atom. Its energy above the most stable polymorph in this dataset is 87 meV per atom. For the formation energy, the calculation gives -0.014 eV per atom.

Unit cell a=2.6507 b=4.1333 c=4.1333 alpha=120.00 beta=90.00 gamma=90.00
Last column: nearest neighbours and their distance in Å.
Fractional coordinates of all 3 atoms:
Co1 0.1674 0.6667 0.3333  3 Ga 2.39, 2 Co 2.65
Tc1 0.6667 0.3333 0.6667  2 Tc 2.65, 6 Ga 2.73, 6 Co 2.73
Ga1 0.1659 0.0000 0.0000  3 Co 2.39, 2 Ga 2.65

---

These records have spin magnetization values of 0.0; 0.0; 0.0; 6.8; 0.0; 0.0; 2.0; 0.0 μB/cell, in the order they appear.
These records have D(E_F) values of 1.07; 0.62; 0.70; 0.71; 0.28; 0.21; 0.37; 1.09 states/eV per atom, in the order they appear.
These records have ρ values of 8.7; 5.9; 11.5; 9.3; 7.0; 5.4; 2.0; 9.6 g cm⁻³, in the order they appear.